No. 1
A plane-wave DFT calculation with PBE-GGA was carried out for a geometry-optimized Tb5DyTm5 structure.

Unit cell a=6.801 b=6.893 c=8.249 alpha=76.00 beta=76.67 gamma=72.26
Space group P-1 (No. 2)
Unique sites:
Tb1 0.000 0.000 0.000 x1
Tb2 0.156 0.134 0.358 x2
Tb3 0.322 0.271 0.655 x2
Dy1 0.000 0.500 0.000 x1
Tm1 0.212 0.639 0.311 x2
Tm2 0.353 0.751 0.719 x2
Tm3 0.500 0.000 0.000 x1

Computed properties:
**Offset from the most stable computed form**: 0.000 eV per formula unit
**DFT formation energy**: 0.150 eV per atom
**Size of the total moment**: 0.0 μB/f.u.

No. 2
A plane-wave DFT calculation with PBE-GGA was carried out for a geometry-optimized DyErMgIn structure.

Unit cell a=7.480 b=7.480 c=7.480 alpha=90.00 beta=90.00 gamma=90.00
Space group F-43m (No. 216)
Unique sites:
Dy1 0.000 0.000 0.000 x4
Er1 0.000 0.000 0.500 x4
Mg1 0.250 0.250 0.750 x4
In1 0.250 0.250 0.250 x4

Computed properties:
**DFT formation energy**: -0.312 eV per atom
**Size of the total moment**: 0.0 μB/f.u.

No. 3
A plane-wave DFT calculation with PBE-GGA was carried out for a geometry-optimized CaY2Te structure.

Unit cell a=4.011 b=4.985 c=6.681 alpha=90.00 beta=104.05 gamma=90.00
Space group P2/m (No. 10)
Unique sites:
Ca1 0.000 0.000 0.000 x1
Y1 0.369 0.500 0.725 x2
Te1 0.000 0.000 0.500 x1

Computed properties:
**Uncorrected formation energy**: -43.03 kJ/mol of atoms
**Size of the total moment**: 0.0 μB/f.u.

- Which value of size of the total moment does entry 3 give?
  0.0 μB/f.u.